Material: NbAgRu2
Method: DFT, PBE-GGA
State: relaxed

Calculated values
- Total magnetization: 0.000 μB/atom
- VASP energy: -7.100 eV per atom
- Mass density: 9.56 Mg/m³
- Energy relative to the lowest polymorph listed for this composition: 0.5661 eV/atom
- ΔH_f (0 K): 0.7679 eV per atom

Unit cell a=3.9489 b=3.9489 c=17.9581 alpha=90.00 beta=90.00 gamma=90.00
Space group I-42d (No. 122)
Unique sites:
Nb 0.0000 0.0000 0.0000
Ag 0.0000 0.0000 0.5000
Ru 0.2119 0.2500 0.1250


Material: Nb2AgRu
Method: DFT, PBE-GGA
State: relaxed

Calculated values
- Total magnetization: 0.000 μB/atom
- VASP energy: -7.732 eV per atom
- Mass density: 9.15 Mg/m³
- ΔH_f (0 K): 0.3342 eV per atom

Unit cell a=2.8379 b=2.8379 c=30.8161 alpha=90.00 beta=90.00 gamma=120.00
Space group R-3m (No. 166, hexagonal axes)
Unique sites:
Nb 0.0000 0.0000 0.0938
Ag 0.0000 0.0000 0.0000
Ru 0.0000 0.0000 0.5000


Material: Nb2AgRu
Method: DFT, PBE-GGA
State: relaxed

Calculated values
- Total magnetization: 0.000 μB/atom
- VASP energy: -7.604 eV per atom
- Mass density: 8.84 Mg/m³
- ΔH_f (0 K): 0.4630 eV per atom

Unit cell a=7.3142 b=7.3142 c=5.5433 alpha=90.00 beta=90.00 gamma=90.00
Space group I-42d (No. 122)
Unique sites:
Nb 0.2145 0.2500 0.1250
Ag 0.0000 0.0000 0.5000
Ru 0.0000 0.0000 0.0000


Material: NbAgRu3
Method: DFT, PBE-GGA
State: relaxed

Calculated values
- Total magnetization: 0.543 μB/atom
- VASP energy: -5.889 eV per atom
- Mass density: 8.08 Mg/m³
- Energy relative to the lowest polymorph listed for this composition: 0.7334 eV/atom
- ΔH_f (0 K): 2.2603 eV per atom

Unit cell a=4.6966 b=4.6966 c=4.6966 alpha=90.00 beta=90.00 gamma=90.00
Space group Pm-3m (No. 221)
Unique sites:
Nb 0.0000 0.0000 0.0000
Ag 0.5000 0.5000 0.5000
Ru 0.0000 0.5000 0.5000


Material: Ta2NbAgRu
Method: DFT, PBE-GGA
State: relaxed

Calculated values
- Total magnetization: 0.000 μB/atom
- VASP energy: -7.118 eV per atom
- Mass density: 10.09 Mg/m³
- ΔH_f (0 K): 2.0628 eV per atom

Unit cell a=4.8055 b=4.8055 c=4.7290 alpha=90.00 beta=90.00 gamma=90.00
Space group P4/mmm (No. 123)
Unique sites:
Ta 0.0000 0.5000 0.0000
Nb 0.0000 0.0000 0.5000
Ag 0.5000 0.5000 0.0000
Ru 0.5000 0.5000 0.5000


Material: NbAgTeRu2
Method: DFT, PBE-GGA
State: relaxed

Calculated values
- Total magnetization: 0.126 μB/atom
- VASP energy: -5.465 eV per atom
- Energy relative to the elements, uncorrected: 1458 meV per atom
- Mass density: 7.60 Mg/m³
- Energy relative to the lowest polymorph listed for this composition: 0.1402 eV/atom

Unit cell a=4.7913 b=4.7913 c=5.0466 alpha=90.00 beta=90.00 gamma=90.00
Space group P4/mmm (No. 123)
Unique sites:
Nb 0.0000 0.0000 0.0000
Ag 0.5000 0.5000 0.0000
Te 0.0000 0.0000 0.5000
Ru 0.0000 0.5000 0.5000


Material: NbAgTeRu2
Method: DFT, PBE-GGA
State: relaxed

Calculated values
- Total magnetization: 0.191 μB/atom
- VASP energy: -5.605 eV per atom
- Energy relative to the elements, uncorrected: 1318 meV per atom
- Mass density: 7.64 Mg/m³
- Energy relative to the lowest polymorph listed for this composition: 0.0000 eV/atom

Unit cell a=4.7128 b=4.7128 c=5.1904 alpha=90.00 beta=90.00 gamma=90.00
Space group P4/mmm (No. 123)
Unique sites:
Nb 0.0000 0.0000 0.0000
Ag 0.0000 0.0000 0.5000
Te 0.5000 0.5000 0.5000
Ru 0.0000 0.5000 0.0000


Material: NbTl2AgRu
Method: DFT, PBE-GGA
State: relaxed

Calculated values
- Total magnetization: 0.000 μB/atom
- VASP energy: -3.678 eV per atom
- Mass density: 9.32 Mg/m³
- ΔH_f (0 K): 1.7083 eV per atom

Unit cell a=5.0341 b=5.0341 c=4.9950 alpha=90.00 beta=90.00 gamma=90.00
Space group P4/mmm (No. 123)
Unique sites:
Nb 0.0000 0.0000 0.0000
Tl 0.0000 0.5000 0.5000
Ag 0.5000 0.5000 0.5000
Ru 0.5000 0.5000 0.0000


Material: Nb4AgS8
Method: DFT, PBE-GGA
State: relaxed

Calculated values
- Total magnetization: 0.000 μB/atom
- VASP energy: -6.808 eV per atom
- Energy relative to the elements, uncorrected: -951 meV per atom
- Mass density: 4.60 Mg/m³
- Energy relative to the lowest polymorph listed for this composition: 0.0000 eV/atom

Unit cell a=3.3752 b=3.3752 c=80.8392 alpha=90.00 beta=90.00 gamma=120.00
Space group R3m (No. 160, hexagonal axes)
Unique sites:
Nb 0.0000 0.0000 0.0000
Nb 0.0000 0.0000 0.0786
Nb 0.0000 0.0000 0.4947
Nb 0.0000 0.0000 0.5742
Ag 0.0000 0.0000 0.6171
S 0.0000 0.0000 0.1420
S 0.0000 0.0000 0.1807
S 0.0000 0.0000 0.3926
S 0.0000 0.0000 0.4312
S 0.0000 0.0000 0.6473
S 0.0000 0.0000 0.6855
S 0.0000 0.0000 0.8887
S 0.0000 0.0000 0.9271


Material: NbAgS3
Method: DFT, PBE-GGA
State: relaxed

Calculated values
- Total magnetization: 0.000 μB/atom
- VASP energy: -4.084 eV per atom
- Energy relative to the elements, uncorrected: 976 meV per atom
- Mass density: 4.77 Mg/m³

Unit cell a=4.6919 b=4.6919 c=4.6919 alpha=90.00 beta=90.00 gamma=90.00
Space group Pm-3m (No. 221)
Unique sites:
Nb 0.0000 0.0000 0.0000
Ag 0.5000 0.5000 0.5000
S 0.0000 0.5000 0.5000


Material: NbAg4S5
Method: DFT, PBE-GGA
State: relaxed

Calculated values
- Total magnetization: 0.000 μB/atom
- VASP energy: -4.454 eV per atom
- Energy relative to the elements, uncorrected: -243 meV per atom
- Mass density: 5.29 Mg/m³

Unit cell a=7.9997 b=7.9997 c=6.7228 alpha=90.00 beta=90.00 gamma=90.00
Space group I4 (No. 79)
Unique sites:
Nb 0.0000 0.0000 0.0000
Ag 0.1468 0.2612 0.4766
S 0.0000 0.0000 0.6507
S 0.0577 0.2815 0.1174


Material: NbAg8S6
Method: DFT, PBE-GGA
State: relaxed

Calculated values
- Total magnetization: 0.056 μB/atom
- VASP energy: -4.017 eV per atom
- Energy relative to the elements, uncorrected: -174 meV per atom
- Mass density: 6.04 Mg/m³

Unit cell a=7.7491 b=7.5743 c=10.7584 alpha=90.00 beta=90.00 gamma=90.00
Space group Pmn2_1 (No. 31)
Unique sites:
Nb 0.0000 0.2346 0.0000
Ag 0.0000 0.7983 0.9573
Ag 0.0000 0.8820 0.5183
Ag 0.1972 0.9767 0.7523
Ag 0.2031 0.3921 0.3444
Ag 0.2150 0.3501 0.6323
S 0.0000 0.2202 0.4894
S 0.0000 0.4800 0.1331
S 0.0000 0.6992 0.7316
S 0.0000 0.9960 0.1394
S 0.2485 0.7439 0.3797